# 1
Below is a relaxed TmPuAl crystal, with properties calculated at the PBE-GGA level.

abc: 7.2454 7.2454 7.2454
angles: 153.98 153.98 37.13
Positions (direct):
Tm 0.0000 0.0000 0.0000
Pu 0.6956 0.6956 0.0000
Al 0.3490 0.3490 0.0000

Its density of states at the Fermi level is 7.71 states/eV per cell. As for the total DFT energy (no corrections): -0.55967 Ry/atom. For the formation energy, the calculation gives -0.099 eV/atom.

# 2
Below is a relaxed Tm5PuAl3 crystal, with properties calculated at the PBE-GGA level.

abc: 8.9521 8.9521 6.4457
angles: 90.00 90.00 120.00
Positions (direct):
Tm 0.0000 0.3224 0.2500
Tm 0.0000 0.6776 0.7500
Tm 0.3224 0.0000 0.2500
Tm 0.3224 0.3224 0.7500
Tm 0.3333 0.6667 0.0000
Tm 0.3333 0.6667 0.5000
Tm 0.6667 0.3333 0.0000
Tm 0.6667 0.3333 0.5000
Tm 0.6776 0.0000 0.7500
Tm 0.6776 0.6776 0.2500
Pu 0.0000 0.0000 0.0000
Pu 0.0000 0.0000 0.5000
Al 0.0000 0.3439 0.7500
Al 0.0000 0.6561 0.2500
Al 0.3439 0.0000 0.7500
Al 0.3439 0.3439 0.2500
Al 0.6561 0.0000 0.2500
Al 0.6561 0.6561 0.7500

Its density of states at the Fermi level is 19.31 states/eV per cell. As for the total DFT energy (no corrections): -0.41036 Ry/atom. For the formation energy, the calculation gives -0.259 eV/atom.

# 3
Below is a relaxed TmPuAl2 crystal, with properties calculated at the PBE-GGA level.

abc: 4.6367 4.6367 4.2210
angles: 90.00 90.00 90.00
Positions (direct):
Tm 0.0000 0.0000 0.0000
Pu 0.5000 0.5000 0.0000
Al 0.0000 0.5000 0.5000
Al 0.5000 0.0000 0.5000

Its density of states at the Fermi level is 9.29 states/eV per cell. As for the total DFT energy (no corrections): -0.49801 Ry/atom. For the formation energy, the calculation gives -0.204 eV/atom.

# 4
Below is a relaxed TmPu2Al crystal, with properties calculated at the PBE-GGA level.

abc: 4.4285 4.4285 4.9522
angles: 90.00 90.00 90.00
Positions (direct):
Tm 0.0000 0.0000 0.0000
Pu 0.0000 0.5000 0.5000
Pu 0.5000 0.0000 0.5000
Al 0.5000 0.5000 0.0000

Its density of states at the Fermi level is 9.60 states/eV per cell. As for the total DFT energy (no corrections): -0.68418 Ry/atom. For the formation energy, the calculation gives -0.089 eV/atom.

# 5
Below is a relaxed TmPuAl2Zn2 crystal, with properties calculated at the PBE-GGA level.

abc: 4.4920 4.4920 7.0948
angles: 90.00 90.00 120.00
Positions (direct):
Tm 0.0000 0.0000 0.0000
Pu 0.0000 0.0000 0.5000
Al 0.3333 0.6667 0.2431
Al 0.6667 0.3333 0.7569
Zn 0.3333 0.6667 0.7674
Zn 0.6667 0.3333 0.2326

Its density of states at the Fermi level is 15.57 states/eV per cell. As for the total DFT energy (no corrections): -0.37364 Ry/atom. For the formation energy, the calculation gives -0.278 eV/atom.

# 6
Below is a relaxed Pu3UAl8 crystal, with properties calculated at the PBE-GGA level.

abc: 5.5918 5.5918 8.5308
angles: 90.00 90.00 120.00
Positions (direct):
Pu 0.0000 0.0000 0.0000
Pu 0.0000 0.0000 0.3247
Pu 0.3333 0.6667 0.8172
U 0.3333 0.6667 0.4977
Al 0.0146 0.5073 0.1599
Al 0.3189 0.1595 0.6608
Al 0.4927 0.5073 0.1599
Al 0.4927 0.9854 0.1599
Al 0.6667 0.3333 0.4100
Al 0.6667 0.3333 0.9113
Al 0.8405 0.1595 0.6608
Al 0.8405 0.6811 0.6608

Its density of states at the Fermi level is 21.43 states/eV per cell. As for the total DFT energy (no corrections): -0.53866 Ry/atom. For the formation energy, the calculation gives -0.310 eV/atom.

# 7
Below is a relaxed PuUAl crystal, with properties calculated at the PBE-GGA level.

abc: 4.8430 4.8430 2.8247
angles: 90.00 90.00 120.00
Positions (direct):
Pu 0.0000 0.0000 0.0000
U 0.3333 0.6667 0.0000
Al 0.6667 0.3333 0.5000

Its density of states at the Fermi level is 7.16 states/eV per cell. As for the total DFT energy (no corrections): -0.72233 Ry/atom. For the formation energy, the calculation gives -0.040 eV/atom.

# 8
Below is a relaxed Pu2UAl crystal, with properties calculated at the PBE-GGA level.

abc: 3.6794 3.6794 6.3256
angles: 90.00 90.00 90.00
Positions (direct):
Pu 0.0000 0.0000 0.2467
Pu 0.0000 0.0000 0.7533
U 0.5000 0.5000 0.5000
Al 0.5000 0.5000 0.0000

Its density of states at the Fermi level is 14.36 states/eV per cell. As for the total DFT energy (no corrections): -0.79389 Ry/atom. For the formation energy, the calculation gives 0.122 eV/atom.

# 9
Below is a relaxed Pu2UAl crystal, with properties calculated at the PBE-GGA level.

abc: 4.4208 4.4208 4.3672
angles: 90.00 90.00 90.00
Positions (direct):
Pu 0.0000 0.5000 0.0000
Pu 0.5000 0.0000 0.0000
U 0.0000 0.0000 0.5000
Al 0.5000 0.5000 0.5000

Its density of states at the Fermi level is 11.44 states/eV per cell. As for the total DFT energy (no corrections): -0.79683 Ry/atom. For the formation energy, the calculation gives 0.082 eV/atom.

# 10
Below is a relaxed Pu2UAl crystal, with properties calculated at the PBE-GGA level.

abc: 9.2461 9.2461 9.2461
angles: 22.52 22.52 22.52
Positions (direct):
Pu 0.1106 0.1106 0.1106
Pu 0.8894 0.8894 0.8894
U 0.5000 0.5000 0.5000
Al 0.0000 0.0000 0.0000

Its density of states at the Fermi level is 11.28 states/eV per cell. As for the total DFT energy (no corrections): -0.74640 Ry/atom. For the formation energy, the calculation gives 0.768 eV/atom.

# 11
Below is a relaxed PuUAl crystal, with properties calculated at the PBE-GGA level.

abc: 5.4599 5.4599 5.4599
angles: 143.19 143.19 53.04
Positions (direct):
Pu 0.0000 0.0000 0.0000
U 0.6050 0.6050 0.0000
Al 0.3032 0.3032 0.0000

Its density of states at the Fermi level is 6.84 states/eV per cell. As for the total DFT energy (no corrections): -0.71829 Ry/atom. For the formation energy, the calculation gives 0.015 eV/atom.

# 12
Below is a relaxed PuUAl crystal, with properties calculated at the PBE-GGA level.

abc: 5.0522 5.0522 5.9073
angles: 90.19 90.19 52.83
Positions (direct):
Pu 0.2206 0.2206 0.0325
Pu 0.7794 0.7794 0.9675
U 0.0173 0.0173 0.7519
U 0.9827 0.9827 0.2481
Al 0.3298 0.3298 0.5365
Al 0.6702 0.6702 0.4635

Its density of states at the Fermi level is 11.13 states/eV per cell. As for the total DFT energy (no corrections): -0.72113 Ry/atom. For the formation energy, the calculation gives -0.024 eV/atom.

# 13
Below is a relaxed PuUAlV crystal, with properties calculated at the PBE-GGA level.

abc: 4.6956 4.6956 4.6956
angles: 60.00 60.00 60.00
Positions (direct):
Pu 0.0000 0.0000 0.0000
U 0.2500 0.2500 0.2500
Al 0.7500 0.7500 0.7500
V 0.5000 0.5000 0.5000

Its density of states at the Fermi level is 4.74 states/eV per cell. As for the total DFT energy (no corrections): -0.70563 Ry/atom. For the formation energy, the calculation gives 0.020 eV/atom.

# 14
Below is a relaxed PuAlV2 crystal, with properties calculated at the PBE-GGA level.

abc: 4.4731 4.4731 4.4731
angles: 60.00 60.00 60.00
Positions (direct):
Pu 0.0000 0.0000 0.0000
Al 0.5000 0.5000 0.5000
V 0.2500 0.2500 0.2500
V 0.7500 0.7500 0.7500

Its density of states at the Fermi level is 9.02 states/eV per cell. As for the total DFT energy (no corrections): -0.66351 Ry/atom. For the formation energy, the calculation gives 0.050 eV/atom.

# 15
Below is a relaxed PuAl2V crystal, with properties calculated at the PBE-GGA level.

abc: 10.5512 10.5512 10.5512
angles: 15.36 15.36 15.36
Positions (direct):
Pu 0.0000 0.0000 0.0000
Al 0.0977 0.0977 0.0977
Al 0.9023 0.9023 0.9023
V 0.5000 0.5000 0.5000

Its density of states at the Fermi level is 6.16 states/eV per cell. As for the total DFT energy (no corrections): -0.55566 Ry/atom. For the formation energy, the calculation gives 0.174 eV/atom.

# 16
Below is a relaxed PuAl2V crystal, with properties calculated at the PBE-GGA level.

abc: 2.6035 2.6035 9.0408
angles: 90.00 90.00 90.00
Positions (direct):
Pu 0.0000 0.0000 0.0000
Al 0.5000 0.5000 0.2738
Al 0.5000 0.5000 0.7262
V 0.0000 0.0000 0.5000

Its density of states at the Fermi level is 4.07 states/eV per cell. As for the total DFT energy (no corrections): -0.57201 Ry/atom. For the formation energy, the calculation gives -0.049 eV/atom.

# 17
Below is a relaxed PuAlV2 crystal, with properties calculated at the PBE-GGA level.

abc: 4.3756 4.3756 3.3013
angles: 90.00 90.00 90.00
Positions (direct):
Pu 0.0000 0.0000 0.0000
Al 0.5000 0.5000 0.0000
V 0.0000 0.5000 0.5000
V 0.5000 0.0000 0.5000

Its density of states at the Fermi level is 6.13 states/eV per cell. As for the total DFT energy (no corrections): -0.66310 Ry/atom. For the formation energy, the calculation gives 0.056 eV/atom.

# 18
Below is a relaxed PuAlW crystal, with properties calculated at the PBE-GGA level.

abc: 9.0245 5.4687 5.4687
angles: 59.53 90.00 90.00
Positions (direct):
Pu 0.1815 0.0000 0.0000
Pu 0.3105 0.6612 0.6612
Pu 0.6895 0.6612 0.6612
Pu 0.8185 0.0000 0.0000
Al 0.0000 0.5016 0.9951
Al 0.0000 0.9951 0.5016
Al 0.2515 0.3350 0.3350
Al 0.7485 0.3350 0.3350
W 0.0000 0.5005 0.5005
W 0.5000 0.1600 0.6728
W 0.5000 0.1637 0.1637
W 0.5000 0.6728 0.1600

Its density of states at the Fermi level is 30.88 states/eV per cell. As for the total DFT energy (no corrections): -0.75732 Ry/atom. For the formation energy, the calculation gives 0.039 eV/atom.

# 19
Below is a relaxed Y2PuAl crystal, with properties calculated at the PBE-GGA level.

abc: 3.4767 3.4767 8.8593
angles: 90.00 90.00 90.00
Positions (direct):
Y 0.0000 0.0000 0.2172
Y 0.0000 0.0000 0.7828
Pu 0.5000 0.5000 0.5000
Al 0.5000 0.5000 0.0000

Its density of states at the Fermi level is 7.89 states/eV per cell. As for the total DFT energy (no corrections): -0.57796 Ry/atom. For the formation energy, the calculation gives -0.113 eV/atom.

# 20
Below is a relaxed Y2PuAl crystal, with properties calculated at the PBE-GGA level.

abc: 10.6369 10.6369 10.6369
angles: 18.99 18.99 18.99
Positions (direct):
Y 0.2408 0.2408 0.2408
Y 0.7592 0.7592 0.7592
Pu 0.0000 0.0000 0.0000
Al 0.5000 0.5000 0.5000

Its density of states at the Fermi level is 10.34 states/eV per cell. As for the total DFT energy (no corrections): -0.56873 Ry/atom. For the formation energy, the calculation gives 0.013 eV/atom.

# 21
Below is a relaxed YPu3Al8 crystal, with properties calculated at the PBE-GGA level.

abc: 9.5966 9.5966 9.5966
angles: 33.53 33.53 33.53
Positions (direct):
Y 0.0000 0.0000 0.0000
Pu 0.3800 0.3800 0.3800
Pu 0.5005 0.5005 0.5005
Pu 0.8717 0.8717 0.8717
Al 0.1882 0.1882 0.1882
Al 0.4379 0.4379 0.9395
Al 0.4380 0.9368 0.9368
Al 0.4379 0.9395 0.4379
Al 0.6880 0.6880 0.6880
Al 0.9368 0.4380 0.9368
Al 0.9368 0.9368 0.4380
Al 0.9395 0.4379 0.4379

Its density of states at the Fermi level is 23.52 states/eV per cell. As for the total DFT energy (no corrections): -0.51408 Ry/atom. For the formation energy, the calculation gives -0.378 eV/atom.

# 22
Below is a relaxed YPuAl crystal, with properties calculated at the PBE-GGA level.

abc: 3.1575 7.6814 7.6814
angles: 24.19 90.00 90.00
Positions (direct):
Y 0.0000 0.0000 0.0000
Pu 0.0000 0.7088 0.7088
Al 0.5000 0.3551 0.3551

Its density of states at the Fermi level is 7.36 states/eV per cell. As for the total DFT energy (no corrections): -0.60084 Ry/atom. For the formation energy, the calculation gives 0.005 eV/atom.

# 23
Below is a relaxed YPuAl6 crystal, with properties calculated at the PBE-GGA level.

abc: 4.4612 5.9854 5.9393
angles: 90.00 90.00 90.00
Positions (direct):
Y 0.0000 0.0000 0.0000
Pu 0.5000 0.5000 0.7713
Al 0.0000 0.2495 0.5287
Al 0.0000 0.5000 0.1217
Al 0.0000 0.7505 0.5287
Al 0.5000 0.0000 0.6389
Al 0.5000 0.2613 0.2508
Al 0.5000 0.7387 0.2508

Its density of states at the Fermi level is 13.30 states/eV per cell. As for the total DFT energy (no corrections): -0.42007 Ry/atom. For the formation energy, the calculation gives -0.309 eV/atom.

# 24
Below is a relaxed YPuAl2 crystal, with properties calculated at the PBE-GGA level.

abc: 5.0851 5.0851 5.0851
angles: 60.00 60.00 60.00
Positions (direct):
Y 0.0000 0.0000 0.0000
Pu 0.5000 0.5000 0.5000
Al 0.2500 0.2500 0.2500
Al 0.7500 0.7500 0.7500

Its density of states at the Fermi level is 6.57 states/eV per cell. As for the total DFT energy (no corrections): -0.53774 Ry/atom. For the formation energy, the calculation gives -0.246 eV/atom.

# 25
Below is a relaxed YPu3Al8 crystal, with properties calculated at the PBE-GGA level.

abc: 5.5800 5.5800 8.8721
angles: 90.00 90.00 120.00
Positions (direct):
Y 0.0000 0.0000 0.0000
Pu 0.0000 0.0000 0.3673
Pu 0.6667 0.3333 0.5051
Pu 0.6667 0.3333 0.8490
Al 0.1616 0.3233 0.6802
Al 0.1616 0.8384 0.6802
Al 0.3333 0.6667 0.4286
Al 0.3333 0.6667 0.9283
Al 0.5057 0.0114 0.1807
Al 0.5057 0.4943 0.1807
Al 0.6767 0.8384 0.6802
Al 0.9886 0.4943 0.1807

Its density of states at the Fermi level is 32.49 states/eV per cell. As for the total DFT energy (no corrections): -0.51225 Ry/atom. For the formation energy, the calculation gives -0.353 eV/atom.

# 26
Below is a relaxed YPuAl2 crystal, with properties calculated at the PBE-GGA level.

abc: 3.2149 3.2149 8.7850
angles: 90.00 90.00 90.00
Positions (direct):
Y 0.0000 0.0000 0.0000
Pu 0.0000 0.0000 0.5000
Al 0.5000 0.5000 0.2504
Al 0.5000 0.5000 0.7496

Its density of states at the Fermi level is 7.02 states/eV per cell. As for the total DFT energy (no corrections): -0.53834 Ry/atom. For the formation energy, the calculation gives -0.254 eV/atom.

# 27
Below is a relaxed Y3PuAl8 crystal, with properties calculated at the PBE-GGA level.

abc: 5.5652 5.5652 9.0999
angles: 90.00 90.00 120.00
Positions (direct):
Y 0.0000 0.0000 0.0000
Y 0.0000 0.0000 0.3712
Y 0.3333 0.6667 0.8585
Pu 0.3333 0.6667 0.5027
Al 0.0093 0.5047 0.1834
Al 0.3244 0.1622 0.6845
Al 0.4953 0.5047 0.1834
Al 0.4953 0.9907 0.1834
Al 0.6667 0.3333 0.4350
Al 0.6667 0.3333 0.9366
Al 0.8378 0.1622 0.6845
Al 0.8378 0.6756 0.6845

Its density of states at the Fermi level is 17.94 states/eV per cell. As for the total DFT energy (no corrections): -0.42342 Ry/atom. For the formation energy, the calculation gives -0.456 eV/atom.